Arrangement a

The following is a DFT calculation (PBE) of a geometry-optimized BaZnS2N structure.

Values from the calculation:
total moment	0.45	μB/atom
density	4.5	g/cm3

a b c (Å): 5.033 5.033 4.137
angles (deg): 90.00 90.00 90.00
Space group P4/mmm (No. 123)
One atom of each set of equivalent atoms:
Ba 0.000 0.000 0.000 [1 per cell]
Zn 0.500 0.500 0.500 [1 per cell]
S 0.000 0.500 0.500 [2 per cell]
N 0.500 0.500 0.000 [1 per cell]

Arrangement b

The following is a DFT calculation (PBE) of a geometry-optimized BaZnS2N structure.

Values from the calculation:
total moment	1.00	μB/atom
density	2.3	g/cm3

a b c (Å): 6.147 6.147 5.400
angles (deg): 90.00 90.00 90.00
Space group P4/mmm (No. 123)
One atom of each set of equivalent atoms:
Ba 0.000 0.000 0.000 [1 per cell]
Zn 0.500 0.500 0.500 [1 per cell]
S 0.000 0.500 0.000 [2 per cell]
N 0.000 0.000 0.500 [1 per cell]

Relative to the most stable structure, the computed energies are arrangement a 0; arrangement b 1191, all in meV/atom.

Arrangement a

The following is a DFT calculation (PBE) of a geometry-optimized BaZrSN2 structure.

Values from the calculation:
total moment	0.26	μB/atom
density	4.8	g/cm3

a b c (Å): 4.366 4.366 5.205
angles (deg): 90.00 90.00 90.00
Space group P4/mmm (No. 123)
One atom of each set of equivalent atoms:
Ba 0.000 0.000 0.000 [1 per cell]
Zr 0.500 0.500 0.500 [1 per cell]
S 0.500 0.500 0.000 [1 per cell]
N 0.000 0.500 0.500 [2 per cell]

Arrangement b

The following is a DFT calculation (PBE) of a geometry-optimized BaZrSN2 structure.

Values from the calculation:
total moment	0.00	μB/atom
density	4.4	g/cm3

a b c (Å): 4.378 4.378 5.733
angles (deg): 90.00 90.00 90.00
Space group P4/mmm (No. 123)
One atom of each set of equivalent atoms:
Ba 0.000 0.000 0.000 [1 per cell]
Zr 0.500 0.500 0.500 [1 per cell]
S 0.000 0.000 0.500 [1 per cell]
N 0.000 0.500 0.000 [2 per cell]

Relative to the most stable structure, the computed energies are arrangement a 0; arrangement b 2103, all in meV/atom.

Arrangement a

The following is a DFT calculation (PBE) of a geometry-optimized BaSb3N structure.

Values from the calculation:
total moment	0.00	μB/atom
density	3.4	g/cm3

a b c (Å): 6.293 6.293 6.293
angles (deg): 90.00 90.00 90.00
Space group Pm-3m (No. 221)
One atom of each set of equivalent atoms:
Ba 0.000 0.000 0.000 [1 per cell]
Sb 0.000 0.000 0.500 [3 per cell]
N 0.500 0.500 0.500 [1 per cell]

Arrangement b

The following is a DFT calculation (PBE) of a geometry-optimized BaSb3N structure.

Values from the calculation:
total moment	0.00	μB/atom
density	6.8	g/cm3

a b c (Å): 5.012 5.012 5.012
angles (deg): 90.00 90.00 90.00
Space group Pm-3m (No. 221)
One atom of each set of equivalent atoms:
Ba 0.000 0.000 0.000 [1 per cell]
Sb 0.000 0.500 0.500 [3 per cell]
N 0.500 0.500 0.500 [1 per cell]

Relative to the most stable structure, the computed energies are arrangement a 2155; arrangement b 0, all in meV/atom.